Record 1
The following is a DFT calculation (PBE) of a relaxed structure of ReAs2SeBr.

Cell: 5.118 5.118 4.945 Å, 90.00 90.00 90.00°
Element x y z (fractional)
1 Re 0.000 0.000 0.000
2 As 0.000 0.500 0.500
3 As 0.500 0.000 0.500
4 Se 0.500 0.500 0.500
5 Br 0.500 0.500 0.000

Offset from the most stable computed form in eV per atom: 1.2187
Raw formation energy in kJ/mol of formula units: 796
Final energy in eV/cell: -18.7

***

Record 2
The following is a DFT calculation (PBE) of a relaxed structure of Pr2Dy12Sc5.

Cell: 9.351 9.351 9.091 Å, 96.30 96.30 48.37°
Element x y z (fractional)
1 Pr 0.202 0.798 0.000
2 Pr 0.798 0.202 0.000
3 Dy 0.027 0.557 0.845
4 Dy 0.062 0.062 0.342
5 Dy 0.095 0.668 0.351
6 Dy 0.332 0.905 0.649
7 Dy 0.426 0.426 0.755
8 Dy 0.443 0.973 0.155
9 Dy 0.557 0.027 0.845
10 Dy 0.574 0.574 0.245
11 Dy 0.668 0.095 0.351
12 Dy 0.905 0.332 0.649
13 Dy 0.938 0.938 0.658
14 Dy 0.973 0.443 0.155
15 Sc 0.264 0.264 0.493
16 Sc 0.375 0.375 0.113
17 Sc 0.500 0.500 0.500
18 Sc 0.625 0.625 0.887
19 Sc 0.736 0.736 0.507

Formation energy in meV/atom: 251.4
Final energy in eV/cell: -91.7

***

Record 3
The following is a DFT calculation (PBE) of a relaxed structure of Pa2IrOs.

Cell: 5.599 6.231 9.525 Å, 81.54 88.31 73.46°
Element x y z (fractional)
1 Pa 0.108 0.178 0.140
2 Pa 0.136 0.082 0.611
3 Pa 0.354 0.421 0.893
4 Pa 0.387 0.333 0.362
5 Pa 0.613 0.667 0.638
6 Pa 0.646 0.579 0.107
7 Pa 0.864 0.918 0.389
8 Pa 0.892 0.822 0.860
9 Ir 0.353 0.933 0.895
10 Ir 0.395 0.819 0.356
11 Ir 0.605 0.181 0.644
12 Ir 0.647 0.067 0.105
13 Os 0.111 0.679 0.144
14 Os 0.143 0.571 0.608
15 Os 0.857 0.429 0.392
16 Os 0.889 0.321 0.856

Offset from the most stable computed form in eV per atom: 0.0877
Formation energy in meV/atom: -527.1
Final energy in eV/cell: -164.8

***

Question: Which formula does entry 3 have?
Answer: Pa2IrOs